1.
Computed, not measured: SmGe2PdPt2 after structural relaxation at the PBE level of DFT.

Calculated values
Final energy   -6.031 eV/atom
Energy relative to the elements   -0.83 eV per atom

Cell lengths 4.3487, 4.3487, 6.7312 Å; angles 90.00, 90.00, 120.00 degrees
Fractional positions:
1 Sm 0.0000 0.0000 0.0000
2 Ge 0.3333 0.6667 0.3044
3 Ge 0.6667 0.3333 0.6956
4 Pd 0.0000 0.0000 0.5000
5 Pt 0.3333 0.6667 0.7087
6 Pt 0.6667 0.3333 0.2913

---

2.
Computed, not measured: SmGePdPt after structural relaxation at the PBE level of DFT.

Calculated values
Final energy   -5.989 eV/atom
Energy relative to the elements   -0.85 eV per atom

Cell lengths 4.0122, 4.0122, 9.8701 Å; angles 90.00, 90.00, 90.00 degrees
Fractional positions:
1 Sm 0.2500 0.2500 0.2110
2 Sm 0.7500 0.7500 0.7890
3 Ge 0.2500 0.2500 0.6549
4 Ge 0.7500 0.7500 0.3451
5 Pd 0.2500 0.7500 0.5000
6 Pd 0.7500 0.2500 0.5000
7 Pt 0.2500 0.2500 0.9093
8 Pt 0.7500 0.7500 0.0907

---

3.
Computed, not measured: Sm3Ge6PdPt2 after structural relaxation at the PBE level of DFT.

Calculated values
Final energy   -5.393 eV/atom
Energy relative to the elements   -0.46 eV per atom

Cell lengths 5.9364, 5.9364, 8.1921 Å; angles 90.00, 90.00, 120.00 degrees
Fractional positions:
1 Sm 0.0000 0.0000 0.0000
2 Sm 0.3333 0.6667 0.6347
3 Sm 0.6667 0.3333 0.3653
4 Ge 0.1867 0.3734 0.2862
5 Ge 0.1867 0.8133 0.2862
6 Ge 0.3734 0.1867 0.7138
7 Ge 0.6266 0.8133 0.2862
8 Ge 0.8133 0.1867 0.7138
9 Ge 0.8133 0.6266 0.7138
10 Pd 0.0000 0.0000 0.5000
11 Pt 0.3333 0.6667 0.0247
12 Pt 0.6667 0.3333 0.9753

---

4.
Computed, not measured: SrGePdPt after structural relaxation at the PBE level of DFT.

Calculated values
Final energy   -5.015 eV/atom
Energy relative to the elements   -0.63 eV per atom

Cell lengths 5.9656, 5.9656, 5.9656 Å; angles 139.02, 137.42, 60.57 degrees
Fractional positions:
1 Sr 0.0000 0.0000 0.0000
2 Ge 0.7472 0.2472 0.5000
3 Pd 0.3617 0.3617 0.0000
4 Pt 0.6247 0.6247 0.0000

---

5.
Computed, not measured: Sr2Ge4PdPt3 after structural relaxation at the PBE level of DFT.

Calculated values
Final energy   -5.316 eV/atom
Energy relative to the elements   -0.80 eV per atom

Cell lengths 4.4410, 4.4410, 10.2309 Å; angles 90.00, 90.00, 90.00 degrees
Fractional positions:
1 Sr 0.0000 0.5000 0.2472
2 Sr 0.5000 0.0000 0.7528
3 Ge 0.0000 0.0000 0.0000
4 Ge 0.0000 0.5000 0.6252
5 Ge 0.5000 0.0000 0.3748
6 Ge 0.5000 0.5000 0.0000
7 Pd 0.0000 0.0000 0.5000
8 Pt 0.0000 0.5000 0.8746
9 Pt 0.5000 0.0000 0.1254
10 Pt 0.5000 0.5000 0.5000

---

6.
Computed, not measured: Sr2Ge3PdPt4 after structural relaxation at the PBE level of DFT.

Calculated values
Final energy   -5.392 eV/atom
Energy relative to the elements   -0.73 eV per atom

Cell lengths 4.4265, 4.4265, 10.3538 Å; angles 90.00, 90.00, 90.00 degrees
Fractional positions:
1 Sr 0.0000 0.5000 0.2436
2 Sr 0.5000 0.0000 0.7564
3 Ge 0.0000 0.0000 0.0000
4 Ge 0.0000 0.5000 0.6218
5 Ge 0.5000 0.0000 0.3782
6 Pd 0.5000 0.5000 0.0000
7 Pt 0.0000 0.0000 0.5000
8 Pt 0.0000 0.5000 0.8578
9 Pt 0.5000 0.0000 0.1422
10 Pt 0.5000 0.5000 0.5000

---

7.
Computed, not measured: SrGe2PdPt2 after structural relaxation at the PBE level of DFT.

Calculated values
Final energy   -5.434 eV/atom
Energy relative to the elements   -0.74 eV per atom

Cell lengths 4.3572, 4.3572, 7.1922 Å; angles 90.00, 90.00, 120.00 degrees
Fractional positions:
1 Sr 0.0000 0.0000 0.0000
2 Ge 0.3333 0.6667 0.3121
3 Ge 0.6667 0.3333 0.6879
4 Pd 0.0000 0.0000 0.5000
5 Pt 0.3333 0.6667 0.6858
6 Pt 0.6667 0.3333 0.3142

---

8.
Computed, not measured: Tb2Ge3PdPt4 after structural relaxation at the PBE level of DFT.

Calculated values
Final energy   -6.094 eV/atom
Energy relative to the elements   -0.85 eV per atom

Cell lengths 4.0598, 4.0598, 11.4025 Å; angles 90.00, 90.00, 90.00 degrees
Fractional positions:
1 Tb 0.0000 0.5000 0.2420
2 Tb 0.5000 0.0000 0.7580
3 Ge 0.0000 0.0000 0.0000
4 Ge 0.0000 0.5000 0.6330
5 Ge 0.5000 0.0000 0.3670
6 Pd 0.5000 0.5000 0.0000
7 Pt 0.0000 0.0000 0.5000
8 Pt 0.0000 0.5000 0.8428
9 Pt 0.5000 0.0000 0.1572
10 Pt 0.5000 0.5000 0.5000

---

9.
Computed, not measured: TbGe2Pd2Pt after structural relaxation at the PBE level of DFT.

Calculated values
Final energy   -5.323 eV/atom
Energy relative to the elements   -0.27 eV per atom

Cell lengths 9.6438, 9.6438, 9.6438 Å; angles 156.41, 156.41, 33.61 degrees
Fractional positions:
1 Tb 0.0000 0.0000 0.0000
2 Ge 0.1655 0.1655 0.0000
3 Ge 0.8345 0.8345 0.0000
4 Pd 0.2500 0.7500 0.5000
5 Pd 0.7500 0.2500 0.5000
6 Pt 0.5000 0.5000 0.0000

---

10.
Computed, not measured: TbGe2PdPt2 after structural relaxation at the PBE level of DFT.

Calculated values
Final energy   -6.018 eV/atom
Energy relative to the elements   -0.83 eV per atom

Cell lengths 4.3383, 4.3383, 6.6195 Å; angles 90.00, 90.00, 120.00 degrees
Fractional positions:
1 Tb 0.0000 0.0000 0.0000
2 Ge 0.3333 0.6667 0.2998
3 Ge 0.6667 0.3333 0.7002
4 Pd 0.0000 0.0000 0.5000
5 Pt 0.3333 0.6667 0.7128
6 Pt 0.6667 0.3333 0.2872

---

11.
Computed, not measured: TbGe2PdPt after structural relaxation at the PBE level of DFT.

Calculated values
Final energy   -5.829 eV/atom
Energy relative to the elements   -0.81 eV per atom

Cell lengths 5.8146, 5.8146, 8.6176 Å; angles 111.05, 111.05, 44.37 degrees
Fractional positions:
1 Tb 0.1941 0.1941 0.1805
2 Tb 0.8059 0.8059 0.8195
3 Ge 0.1594 0.1594 0.5417
4 Ge 0.4357 0.4357 0.0908
5 Ge 0.5643 0.5643 0.9092
6 Ge 0.8406 0.8406 0.4583
7 Pd 0.4143 0.4143 0.5952
8 Pd 0.5857 0.5857 0.4048
9 Pt 0.0795 0.0795 0.7806
10 Pt 0.9205 0.9205 0.2194

---

12.
Computed, not measured: Tb2Ge4PdPt3 after structural relaxation at the PBE level of DFT.

Calculated values
Final energy   -5.985 eV/atom
Energy relative to the elements   -0.88 eV per atom

Cell lengths 4.2964, 4.2964, 10.2103 Å; angles 90.00, 90.00, 90.00 degrees
Fractional positions:
1 Tb 0.0000 0.5000 0.2473
2 Tb 0.5000 0.0000 0.7527
3 Ge 0.0000 0.0000 0.5000
4 Ge 0.0000 0.5000 0.8685
5 Ge 0.5000 0.0000 0.1315
6 Ge 0.5000 0.5000 0.5000
7 Pd 0.5000 0.5000 0.0000
8 Pt 0.0000 0.0000 0.0000
9 Pt 0.0000 0.5000 0.6301
10 Pt 0.5000 0.0000 0.3699